1.
An optimized crystal structure of Li3Y3PuS8, computed with PBE.

Total magnetization = 4.0 μB/cell
Calculated volume = 332 Å³/cell
Energy relative to the elements, uncorrected = -167.4 kJ per mole of atoms
N(E_F) = 11.164 states/eV per cell
Space group = No. 166

Lattice parameters (Å, degrees): 7.662 7.662 7.662 61.89 61.89 61.89
Fractional positions:
Li 0.000 0.500 0.500
Li 0.500 0.000 0.500
Li 0.500 0.500 0.000
Y 0.000 0.000 0.500
Y 0.000 0.500 0.000
Y 0.500 0.000 0.000
Pu 0.500 0.500 0.500
S 0.250 0.250 0.250
S 0.256 0.256 0.744
S 0.256 0.744 0.256
S 0.256 0.744 0.744
S 0.744 0.256 0.256
S 0.744 0.256 0.744
S 0.744 0.744 0.256
S 0.750 0.750 0.750



2.
An optimized crystal structure of CdOs2Cl, computed with PBE.

Total magnetization = 0.0 μB/cell
Calculated volume = 81 Å³/cell
Distance to the lowest polymorph of the same formula = 892 meV per atom
Energy relative to the elements, uncorrected = 109.4 kJ per mole of atoms
N(E_F) = 3.944 states/eV per cell
Space group = No. 123

Lattice parameters (Å, degrees): 3.579 3.579 6.320 90.00 90.00 90.00
Fractional positions:
Cd 0.000 0.000 0.000
Os 0.000 0.500 0.500
Os 0.500 0.000 0.500
Cl 0.500 0.500 0.000



3.
An optimized crystal structure of TcBiCl3, computed with PBE.

Total magnetization = 5.4 μB/cell
Calculated volume = 172 Å³/cell
Energy relative to the elements, uncorrected = 45.4 kJ per mole of atoms
N(E_F) = 11.232 states/eV per cell
Space group = No. 221

Lattice parameters (Å, degrees): 5.558 5.558 5.558 90.00 90.00 90.00
Fractional positions:
Tc 0.000 0.000 0.000
Bi 0.500 0.500 0.500
Cl 0.000 0.500 0.500
Cl 0.500 0.000 0.500
Cl 0.500 0.500 0.000